Entry 1:
Density functional theory data (PBEsol) for ZrSc2 after structural relaxation.

Cell: 3.169 4.488 9.535 Å, 90.00 90.00 90.00°
Space group Immm (No. 71)
Inequivalent atoms, fractional coordinates:
Zr1 0.000 0.000 0.000 [2 per cell]
Sc1 0.000 0.000 0.336 [4 per cell]

Properties
E_tot	-7.41	eV/atom
Fermi-level density of states	8.0	states/eV per cell
ΔH_f (0 K)	0.026	eV per atom


Entry 2:
Density functional theory data (PBEsol) for ZrSc3 after structural relaxation.

Cell: 5.052 6.471 5.620 Å, 90.00 90.00 90.00°
Space group Pmmn (No. 59, origin choice 2)
Inequivalent atoms, fractional coordinates:
Zr1 0.250 0.250 0.166 [2 per cell]
Sc1 0.250 0.002 0.666 [4 per cell]
Sc2 0.250 0.750 0.160 [2 per cell]

Properties
E_tot	-7.23	eV/atom
Fermi-level density of states	14.9	states/eV per cell
ΔH_f (0 K)	0.000	eV per atom


Entry 3:
Density functional theory data (PBEsol) for ZrSc3 after structural relaxation.

Cell: 4.495 4.495 4.495 Å, 90.00 90.00 90.00°
Space group Pm-3m (No. 221)
Inequivalent atoms, fractional coordinates:
Zr1 0.000 0.000 0.000 [1 per cell]
Sc1 0.000 0.500 0.500 [3 per cell]

Properties
E_tot	-7.19	eV/atom
Fermi-level density of states	6.0	states/eV per cell
ΔH_f (0 K)	0.034	eV per atom


Entry 4:
Density functional theory data (PBEsol) for ZrSc2 after structural relaxation.

Cell: 3.180 3.180 13.562 Å, 90.00 90.00 90.00°
Space group I4/mmm (No. 139)
Inequivalent atoms, fractional coordinates:
Zr1 0.000 0.000 0.000 [2 per cell]
Sc1 0.000 0.000 0.339 [4 per cell]

Properties
E_tot	-7.41	eV/atom
Fermi-level density of states	9.7	states/eV per cell
ΔH_f (0 K)	0.019	eV per atom


Entry 5:
Density functional theory data (PBEsol) for ZrSc2 after structural relaxation.

Cell: 11.647 3.228 7.522 Å, 90.00 103.14 90.00°
Space group C2/m (No. 12)
Inequivalent atoms, fractional coordinates:
Zr1 0.026 0.000 0.308 [4 per cell]
Sc1 0.133 0.500 0.026 [4 per cell]
Sc2 0.192 0.500 0.637 [4 per cell]

Properties
E_tot	-7.45	eV/atom
Fermi-level density of states	17.1	states/eV per cell
ΔH_f (0 K)	-0.016	eV per atom


Entry 6:
Density functional theory data (PBEsol) for ZrSc3 after structural relaxation.

Cell: 5.548 10.262 6.439 Å, 90.00 90.00 90.00°
Space group Pnma (No. 62)
Inequivalent atoms, fractional coordinates:
Zr1 0.080 0.250 0.130 [4 per cell]
Sc1 0.085 0.250 0.622 [4 per cell]
Sc2 0.243 0.001 0.875 [8 per cell]

Properties
E_tot	-7.21	eV/atom
Fermi-level density of states	26.1	states/eV per cell
ΔH_f (0 K)	0.017	eV per atom


> What is the Fermi-level density of states in the sixth record?

26.1 states/eV per cell


> Look up the E_tot of the second one.

-7.23 eV/atom


> Which value of ΔH_f (0 K) does entry 3 give?

0.034 eV per atom


> What is the formula in the first record?

ZrSc2